! PBE Li3Tb12H5, optimized geometry; values from VASP
&SYSTEM
  ibrav = 0, nat = 80, ntyp = 3
/
ATOMIC_SPECIES
H 1.01 H.upf
Li 6.94 Li.upf
Tb 158.93 Tb.upf
ATOMIC_POSITIONS crystal
H 0.500 0.000 0.500
H 0.000 0.000 0.500
H 0.250 0.875 0.125
H 0.000 0.500 0.500
H 0.375 0.125 0.750
H 0.500 0.500 0.000
H 0.125 0.375 0.250
H 0.875 0.625 0.750
H 0.500 0.500 0.500
H 0.125 0.750 0.375
H 0.875 0.250 0.625
H 0.750 0.125 0.875
H 0.625 0.875 0.250
H 0.000 0.500 0.000
H 0.000 0.000 0.000
H 0.625 0.750 0.875
H 0.250 0.375 0.625
H 0.375 0.250 0.125
H 0.750 0.625 0.375
H 0.500 0.000 0.000
Li 0.875 0.125 0.250
Li 0.375 0.625 0.250
Li 0.250 0.625 0.875
Li 0.750 0.875 0.625
Li 0.625 0.250 0.375
Li 0.375 0.750 0.625
Li 0.750 0.375 0.125
Li 0.125 0.250 0.875
Li 0.250 0.125 0.375
Li 0.125 0.875 0.750
Li 0.625 0.375 0.750
Li 0.875 0.750 0.125
Tb 0.608 0.012 0.205
Tb 0.404 0.012 0.308
Tb 0.192 0.097 0.705
Tb 0.392 0.404 0.097
Tb 0.295 0.892 0.988
Tb 0.403 0.295 0.308
Tb 0.192 0.096 0.988
Tb 0.512 0.308 0.904
Tb 0.108 0.403 0.096
Tb 0.597 0.892 0.404
Tb 0.903 0.096 0.608
Tb 0.205 0.692 0.097
Tb 0.705 0.597 0.192
Tb 0.308 0.795 0.403
Tb 0.096 0.192 0.488
Tb 0.892 0.295 0.488
Tb 0.596 0.988 0.692
Tb 0.488 0.795 0.892
Tb 0.097 0.192 0.205
Tb 0.904 0.097 0.892
Tb 0.205 0.512 0.608
Tb 0.808 0.904 0.012
Tb 0.795 0.308 0.903
Tb 0.903 0.808 0.795
Tb 0.295 0.403 0.808
Tb 0.012 0.608 0.705
Tb 0.808 0.903 0.295
Tb 0.597 0.705 0.692
Tb 0.988 0.392 0.295
Tb 0.608 0.596 0.903
Tb 0.404 0.392 0.597
Tb 0.097 0.904 0.392
Tb 0.488 0.692 0.096
Tb 0.512 0.205 0.108
Tb 0.012 0.404 0.808
Tb 0.892 0.597 0.904
Tb 0.988 0.596 0.192
Tb 0.108 0.705 0.512
Tb 0.596 0.608 0.403
Tb 0.308 0.512 0.404
Tb 0.692 0.488 0.596
Tb 0.705 0.108 0.012
Tb 0.795 0.488 0.392
Tb 0.096 0.903 0.108
Tb 0.403 0.108 0.596
Tb 0.392 0.988 0.795
Tb 0.692 0.205 0.597
Tb 0.904 0.808 0.512
CELL_PARAMETERS angstrom
-6.560 6.204 9.871
-8.144 -1.514 -10.505
4.100 -12.011 4.231
! Calculated total energy   -3.991 eV per atom
! SG   No. 230